A relaxed structure of KMgNi2H3Se2O10. Source: the Alexandria database, functional PBE with a Hubbard U.

Cell: 6.154 5.577 9.324 Å, 62.08 69.19 70.54°
Element x y z (fractional)
K (0.588, 0.300, 0.392)
Mg (0.138, 0.779, 0.542)
Ni (0.982, 0.524, 0.007)
Ni (0.594, 0.003, 0.087)
H (0.592, 0.822, 0.886)
H (0.298, 0.102, 0.281)
H (0.399, 0.485, 0.013)
Se (0.028, 0.845, 0.220)
Se (0.000, 0.166, 0.700)
O (0.911, 0.788, 0.426)
O (0.959, 0.180, 0.528)
O (0.389, 0.917, 0.338)
O (0.862, 0.173, 0.127)
O (0.753, 0.258, 0.825)
O (0.133, 0.821, 0.777)
O (0.623, 0.720, 0.997)
O (0.315, 0.338, 0.047)
O (0.868, 0.682, 0.183)
O (0.202, 0.351, 0.655)

Summary:
The total magnetic moment is 0.210 μB/atom. The space group is No. 1. The energy above the most stable polymorph in this dataset is 0.0 meV per atom. The calculation puts the final energy at -5.067 eV per atom.